This record from the Alexandria database describes a geometry-optimized Ti5Fe structure. The functional is PBE.

extended XYZ file:
```
6
Lattice="1.515 -6.787 0.000 1.515 6.787 0.000 0.000 0.000 4.571" Properties=species:S:1:pos:R:3 pbc="T T T"
Ti 0.000 0.000 0.000
Ti 1.515 4.754 2.285
Ti 1.515 2.272 0.000
Ti 1.515 -2.272 0.000
Ti 1.515 -4.754 2.285
Fe 1.515 0.000 2.285
```

Values from the calculation:
For the volume, the calculation gives 15.7 Å³ per atom. The value obtained for the formation energy is -0.0190 eV per atom.

This record from the Alexandria database describes a geometry-optimized TiFe structure. The functional is PBE.

extended XYZ file:
```
8
Lattice="-5.020 5.020 1.367 5.020 -5.020 1.367 5.020 5.020 -1.367" Properties=species:S:1:pos:R:3 pbc="T T T"
Ti 3.367 0.513 0.000
Ti 4.507 -1.653 1.367
Ti 0.513 6.673 0.000
Ti 1.653 4.507 1.367
Fe 7.903 1.569 0.000
Fe 1.569 2.137 0.000
Fe 3.450 2.883 1.367
Fe -2.883 3.450 1.367
```

Values from the calculation:
For the volume, the calculation gives 17.2 Å³ per atom. The value obtained for the formation energy is 0.5303 eV per atom.

This record from the Alexandria database describes a geometry-optimized Ti3Fe2 structure. The functional is PBE.

extended XYZ file:
```
10
Lattice="2.958 0.000 0.000 0.000 2.958 0.000 0.000 0.000 15.645" Properties=species:S:1:pos:R:3 pbc="T T T"
Ti 0.000 0.000 0.000
Ti 0.000 0.000 2.959
Ti 0.000 0.000 5.908
Ti 0.000 0.000 9.737
Ti 0.000 0.000 12.686
Ti 1.479 1.479 7.823
Fe 1.479 1.479 1.476
Fe 1.479 1.479 4.432
Fe 1.479 1.479 11.213
Fe 1.479 1.479 14.169
```

Values from the calculation:
For the volume, the calculation gives 13.7 Å³ per atom. The value obtained for the formation energy is -0.3163 eV per atom.

This record from the Alexandria database describes a geometry-optimized TiTlFe2 structure. The functional is PBE.

extended XYZ file:
```
4
Lattice="0.000 3.067 3.067 3.067 0.000 3.067 3.067 3.067 0.000" Properties=species:S:1:pos:R:3 pbc="T T T"
Ti 0.000 0.000 0.000
Tl 3.067 3.067 3.067
Fe 1.534 1.534 1.534
Fe 4.601 4.601 4.601
```

Values from the calculation:
For the volume, the calculation gives 14.4 Å³ per atom. The calculation puts the polymorph energy (0 for the lowest one) at 0.000 eV per atom. The value obtained for the formation energy is 0.2229 eV per atom.